VASP calculation (PBE) on RePt4Rh5 after structural relaxation.

Lattice parameters (Å, degrees): 2.750 2.750 19.584 90.00 90.00 90.00
Sites, in units of the cell vectors:
Re1 0.000 0.000 0.000
Pt1 0.000 0.000 0.200
Pt2 0.000 0.000 0.400
Pt3 0.000 0.000 0.600
Pt4 0.000 0.000 0.800
Rh1 0.500 0.500 0.095
Rh2 0.500 0.500 0.301
Rh3 0.500 0.500 0.500
Rh4 0.500 0.500 0.699
Rh5 0.500 0.500 0.905

## Properties
energy relative to the elements: -0.078 eV per atom
calculated total energy: -7.4144 eV/atom

VASP calculation (PBE) on RePtRh2 after structural relaxation.

Lattice parameters (Å, degrees): 2.729 3.881 5.534 90.00 90.00 90.00
Sites, in units of the cell vectors:
Re1 0.000 0.000 0.000
Pt1 0.000 0.000 0.500
Rh1 0.500 0.500 0.239
Rh2 0.500 0.500 0.761

## Properties
energy relative to the elements: -0.125 eV per atom
calculated total energy: -8.4232 eV/atom

VASP calculation (PBE) on RePt2Rh after structural relaxation.

Lattice parameters (Å, degrees): 2.755 2.755 7.909 90.00 90.00 90.00
Sites, in units of the cell vectors:
Re1 0.000 0.000 0.000
Pt1 0.500 0.500 0.244
Pt2 0.500 0.500 0.756
Rh1 0.000 0.000 0.500

## Properties
energy relative to the elements: -0.086 eV per atom
calculated total energy: -8.0564 eV/atom

VASP calculation (PBE) on RePtRh2 after structural relaxation.

Lattice parameters (Å, degrees): 4.770 4.770 2.730 90.00 90.00 109.56
Sites, in units of the cell vectors:
Re1 0.000 0.000 0.000
Pt1 0.500 0.500 0.000
Rh1 0.000 0.500 0.500
Rh2 0.500 0.000 0.500

## Properties
energy relative to the elements: -0.033 eV per atom
calculated total energy: -8.3313 eV/atom

VASP calculation (PBE) on RePtRh2 after structural relaxation.

Lattice parameters (Å, degrees): 2.728 2.728 7.888 90.00 90.00 90.00
Sites, in units of the cell vectors:
Re1 0.000 0.000 0.000
Pt1 0.500 0.500 0.749
Rh1 0.000 0.000 0.490
Rh2 0.500 0.500 0.238

## Properties
energy relative to the elements: -0.076 eV per atom
calculated total energy: -8.3736 eV/atom

VASP calculation (PBE) on RePtRh3 after structural relaxation.

Lattice parameters (Å, degrees): 4.714 4.714 4.714 90.00 90.00 90.00
Sites, in units of the cell vectors:
Re1 0.000 0.000 0.000
Pt1 0.500 0.500 0.500
Rh1 0.000 0.500 0.500
Rh2 0.500 0.000 0.500
Rh3 0.500 0.500 0.000

## Properties
energy relative to the elements: 2.094 eV per atom
calculated total energy: -6.0149 eV/atom

VASP calculation (PBE) on RePt2Rh after structural relaxation.

Lattice parameters (Å, degrees): 4.797 4.797 4.787 99.54 99.54 33.53
Sites, in units of the cell vectors:
Re1 0.000 0.000 0.000
Pt1 0.252 0.252 0.755
Pt2 0.748 0.748 0.245
Rh1 0.500 0.500 0.500

## Properties
energy relative to the elements: -0.054 eV per atom
calculated total energy: -8.0239 eV/atom

VASP calculation (PBE) on RePt2Rh after structural relaxation.

Lattice parameters (Å, degrees): 3.904 3.904 3.943 90.00 90.00 90.00
Sites, in units of the cell vectors:
Re1 0.000 0.000 0.000
Pt1 0.000 0.500 0.500
Pt2 0.500 0.000 0.500
Rh1 0.500 0.500 0.000

## Properties
energy relative to the elements: 0.052 eV per atom
calculated total energy: -7.9184 eV/atom

VASP calculation (PBE) on RePtRh2 after structural relaxation.

Lattice parameters (Å, degrees): 5.916 5.916 5.916 37.72 37.72 37.72
Sites, in units of the cell vectors:
Re1 0.000 0.000 0.000
Pt1 0.160 0.160 0.160
Rh1 0.582 0.582 0.582
Rh2 0.737 0.737 0.737

## Properties
energy relative to the elements: 0.461 eV per atom
calculated total energy: -7.8367 eV/atom

VASP calculation (PBE) on RePt3Rh6 after structural relaxation.

Lattice parameters (Å, degrees): 7.295 4.463 9.559 90.00 109.13 90.00
Sites, in units of the cell vectors:
Re1 0.103 0.250 0.068
Re2 0.897 0.750 0.932
Pt1 0.093 0.750 0.733
Pt2 0.302 0.750 0.533
Pt3 0.303 0.250 0.869
Pt4 0.697 0.750 0.131
Pt5 0.698 0.250 0.467
Pt6 0.907 0.250 0.267
Rh1 0.100 0.750 0.227
Rh2 0.102 0.250 0.567
Rh3 0.293 0.750 0.031
Rh4 0.301 0.250 0.364
Rh5 0.494 0.250 0.166
Rh6 0.499 0.750 0.331
Rh7 0.501 0.250 0.669
Rh8 0.506 0.750 0.834
Rh9 0.699 0.750 0.636
Rh10 0.707 0.250 0.969
Rh11 0.898 0.750 0.433
Rh12 0.900 0.250 0.773

## Properties
energy relative to the elements: -0.027 eV per atom
calculated total energy: -7.4944 eV/atom

VASP calculation (PBE) on RePt2Rh after structural relaxation.

Lattice parameters (Å, degrees): 2.758 3.962 5.483 90.00 90.01 90.00
Sites, in units of the cell vectors:
Re1 0.000 0.000 0.000
Pt1 0.498 0.500 0.756
Pt2 0.502 0.500 0.244
Rh1 0.000 0.000 0.500

## Properties
energy relative to the elements: -0.074 eV per atom
calculated total energy: -8.0448 eV/atom

VASP calculation (PBE) on RePtRh3 after structural relaxation.

Lattice parameters (Å, degrees): 3.892 5.465 7.245 100.82 105.53 90.09
Sites, in units of the cell vectors:
Re1 0.000 0.000 0.000
Re2 0.004 0.489 0.007
Pt1 0.601 0.794 0.202
Pt2 0.803 0.395 0.605
Rh1 0.203 0.595 0.405
Rh2 0.204 0.095 0.406
Rh3 0.407 0.699 0.813
Rh4 0.408 0.196 0.815
Rh5 0.598 0.293 0.198
Rh6 0.804 0.895 0.608

## Properties
energy relative to the elements: -0.081 eV per atom
calculated total energy: -8.1893 eV/atom

VASP calculation (PBE) on RePtRh2 after structural relaxation.

Lattice parameters (Å, degrees): 5.392 5.392 2.693 104.36 104.36 118.89
Sites, in units of the cell vectors:
Re1 0.000 0.000 0.000
Pt1 0.500 0.500 0.000
Rh1 0.000 0.500 0.500
Rh2 0.500 0.000 0.500

## Properties
energy relative to the elements: 0.180 eV per atom
calculated total energy: -8.1184 eV/atom

VASP calculation (PBE) on RePt2Rh after structural relaxation.

Lattice parameters (Å, degrees): 5.674 5.674 5.674 102.83 102.83 123.77
Sites, in units of the cell vectors:
Re1 0.000 0.000 0.000
Re2 0.750 0.250 0.500
Pt1 0.108 0.625 0.983
Pt2 0.375 0.358 0.483
Pt3 0.642 0.125 0.017
Pt4 0.875 0.892 0.517
Rh1 0.250 0.750 0.500
Rh2 0.500 0.500 0.000

## Properties
energy relative to the elements: 0.501 eV per atom
calculated total energy: -7.4695 eV/atom

VASP calculation (PBE) on RePtRh2 after structural relaxation.

Lattice parameters (Å, degrees): 9.109 9.109 9.109 17.41 17.41 17.41
Sites, in units of the cell vectors:
Re1 0.000 0.000 0.000
Pt1 0.500 0.500 0.500
Rh1 0.254 0.254 0.254
Rh2 0.746 0.746 0.746

## Properties
energy relative to the elements: -0.120 eV per atom
calculated total energy: -8.4183 eV/atom

VASP calculation (PBE) on RePt2Rh after structural relaxation.

Lattice parameters (Å, degrees): 4.820 4.818 3.886 66.25 66.19 47.56
Sites, in units of the cell vectors:
Re1 0.000 0.000 0.000
Pt1 0.500 0.500 0.500
Pt2 0.750 0.750 0.750
Rh1 0.250 0.250 0.250

## Properties
energy relative to the elements: -0.087 eV per atom
calculated total energy: -8.0571 eV/atom

VASP calculation (PBE) on RePtRh after structural relaxation.

Lattice parameters (Å, degrees): 2.758 2.758 6.788 90.00 90.00 120.00
Sites, in units of the cell vectors:
Re1 0.000 0.000 0.000
Pt1 0.333 0.667 0.663
Rh1 0.667 0.333 0.314

## Properties
energy relative to the elements: -0.083 eV per atom
calculated total energy: -8.6961 eV/atom

VASP calculation (PBE) on RePt2Rh after structural relaxation.

Lattice parameters (Å, degrees): 4.425 4.425 4.425 60.00 60.00 60.00
Sites, in units of the cell vectors:
Re1 0.000 0.000 0.000
Pt1 0.250 0.250 0.250
Pt2 0.750 0.750 0.750
Rh1 0.500 0.500 0.500

## Properties
energy relative to the elements: 0.241 eV per atom
calculated total energy: -7.7294 eV/atom

VASP calculation (PBE) on RePtRh2 after structural relaxation.

Lattice parameters (Å, degrees): 3.902 3.902 3.848 90.00 90.00 90.00
Sites, in units of the cell vectors:
Re1 0.000 0.000 0.000
Pt1 0.500 0.500 0.000
Rh1 0.000 0.500 0.500
Rh2 0.500 0.000 0.500

## Properties
energy relative to the elements: 0.010 eV per atom
calculated total energy: -8.2876 eV/atom

VASP calculation (PBE) on RePt6Rh8 after structural relaxation.

Lattice parameters (Å, degrees): 4.770 7.279 7.292 94.11 108.94 109.11
Sites, in units of the cell vectors:
Re1 0.000 0.000 0.000
Pt1 0.130 0.935 0.669
Pt2 0.196 0.397 0.997
Pt3 0.464 0.266 0.329
Pt4 0.536 0.734 0.671
Pt5 0.804 0.603 0.003
Pt6 0.870 0.065 0.331
Rh1 0.064 0.471 0.335
Rh2 0.267 0.866 0.328
Rh3 0.337 0.335 0.665
Rh4 0.405 0.807 0.000
Rh5 0.595 0.193 0.000
Rh6 0.663 0.665 0.335
Rh7 0.733 0.134 0.672
Rh8 0.936 0.529 0.665

## Properties
energy relative to the elements: -0.055 eV per atom
calculated total energy: -7.2222 eV/atom

VASP calculation (PBE) on RePt5Rh4 after structural relaxation.

Lattice parameters (Å, degrees): 6.092 6.092 7.626 90.87 90.87 36.09
Sites, in units of the cell vectors:
Re1 0.000 0.000 0.000
Pt1 0.000 0.000 0.500
Pt2 0.332 0.332 0.502
Pt3 0.336 0.336 0.993
Pt4 0.664 0.664 0.007
Pt5 0.668 0.668 0.498
Rh1 0.170 0.170 0.753
Rh2 0.498 0.498 0.758
Rh3 0.502 0.502 0.242
Rh4 0.830 0.830 0.247

## Properties
energy relative to the elements: 0.213 eV per atom
calculated total energy: -6.9926 eV/atom

VASP calculation (PBE) on RePt2Rh after structural relaxation.

Lattice parameters (Å, degrees): 2.753 3.919 5.560 90.00 90.00 90.00
Sites, in units of the cell vectors:
Re1 0.000 0.000 0.000
Pt1 0.000 0.000 0.489
Pt2 0.500 0.500 0.752
Rh1 0.500 0.500 0.229

## Properties
energy relative to the elements: -0.122 eV per atom
calculated total energy: -8.0924 eV/atom

VASP calculation (PBE) on RePt2Rh after structural relaxation.

Lattice parameters (Å, degrees): 9.224 9.224 9.224 17.27 17.27 17.27
Sites, in units of the cell vectors:
Re1 0.000 0.000 0.000
Pt1 0.251 0.251 0.251
Pt2 0.497 0.497 0.497
Rh1 0.744 0.744 0.744

## Properties
energy relative to the elements: -0.129 eV per atom
calculated total energy: -8.0988 eV/atom

VASP calculation (PBE) on RePt6Rh after structural relaxation.

Lattice parameters (Å, degrees): 3.943 3.943 7.888 90.00 90.00 90.00
Sites, in units of the cell vectors:
Re1 0.000 0.000 0.000
Pt1 0.000 0.500 0.245
Pt2 0.000 0.500 0.755
Pt3 0.500 0.000 0.245
Pt4 0.500 0.000 0.755
Pt5 0.500 0.500 0.000
Pt6 0.500 0.500 0.500
Rh1 0.000 0.000 0.500

## Properties
energy relative to the elements: -0.030 eV per atom
calculated total energy: -7.0353 eV/atom

VASP calculation (PBE) on RePt2Rh after structural relaxation.

Lattice parameters (Å, degrees): 4.830 4.830 2.744 90.00 90.00 110.40
Sites, in units of the cell vectors:
Re1 0.000 0.000 0.000
Pt1 0.000 0.500 0.500
Pt2 0.500 0.000 0.500
Rh1 0.500 0.500 0.000

## Properties
energy relative to the elements: -0.013 eV per atom
calculated total energy: -7.9836 eV/atom

VASP calculation (PBE) on RePt3Rh after structural relaxation.

Lattice parameters (Å, degrees): 5.779 7.433 7.705 90.00 90.00 90.00
Sites, in units of the cell vectors:
Re1 0.000 0.000 0.000
Re2 0.000 0.500 0.000
Re3 0.500 0.000 0.500
Re4 0.500 0.500 0.500
Pt1 0.133 0.068 0.314
Pt2 0.133 0.432 0.314
Pt3 0.197 0.750 0.496
Pt4 0.303 0.250 0.996
Pt5 0.367 0.568 0.814
Pt6 0.367 0.932 0.814
Pt7 0.633 0.068 0.186
Pt8 0.633 0.432 0.186
Pt9 0.697 0.750 0.004
Pt10 0.803 0.250 0.504
Pt11 0.867 0.568 0.686
Pt12 0.867 0.932 0.686
Rh1 0.249 0.750 0.131
Rh2 0.251 0.250 0.631
Rh3 0.749 0.750 0.369
Rh4 0.751 0.250 0.869

## Properties
energy relative to the elements: 0.250 eV per atom
calculated total energy: -7.3346 eV/atom